Compound: HfScNO
Source: the Open Quantum Materials Database
Functional: PBE
Structure: relaxed

Values from the calculation:
Polymorph energy (0 for the lowest one)   0.000 eV/atom
Crystal system   tetragonal

Cell: 3.1704 3.1704 4.4858 Å, 90.00 90.00 90.00°
Space group P4/mmm (No. 123)
One atom of each set of equivalent atoms:
Hf  0.0000  0.0000  0.0000 (multiplicity 1)
Sc  0.5000  0.5000  0.5000 (multiplicity 1)
N  0.5000  0.5000  0.0000 (multiplicity 1)
O  0.0000  0.0000  0.5000 (multiplicity 1)

---

Compound: Ho2NbFeSi2
Source: the Open Quantum Materials Database
Functional: PBE
Structure: relaxed

Values from the calculation:
Crystal system   tetragonal

Cell: 3.8998 3.8998 7.4179 Å, 90.00 90.00 90.00°
Space group P-4m2 (No. 115)
One atom of each set of equivalent atoms:
Ho  0.0000  0.5000  0.1511 (multiplicity 2)
Nb  0.5000  0.5000  0.5000 (multiplicity 1)
Fe  0.0000  0.0000  0.5000 (multiplicity 1)
Si  0.0000  0.5000  0.7273 (multiplicity 2)

---

Compound: ZrPd
Source: the Open Quantum Materials Database
Functional: PBE
Structure: relaxed

Values from the calculation:
Formation enthalpy at 0 K   -0.356 eV per atom
Crystal system   hexagonal

Cell: 3.7482 3.7482 6.6827 Å, 90.00 90.00 120.00°
Space group P6_3/mmc (No. 194)
One atom of each set of equivalent atoms:
Zr  0.0000  0.0000  0.0000 (multiplicity 2)
Pd  0.3333  0.6667  0.2500 (multiplicity 2)

---

Compound: AlHgW2
Source: the Open Quantum Materials Database
Functional: PBE
Structure: relaxed

Values from the calculation:
Crystal system   cubic

Cell: 6.4615 6.4615 6.4615 Å, 90.00 90.00 90.00°
Space group F-43m (No. 216)
One atom of each set of equivalent atoms:
Al  0.0000  0.0000  0.0000 (multiplicity 4)
Hg  0.2500  0.2500  0.2500 (multiplicity 4)
W  0.0000  0.0000  0.5000 (multiplicity 4)
W  0.2500  0.2500  0.7500 (multiplicity 4)

---

Compound: NbSi2Ag
Source: the Open Quantum Materials Database
Functional: PBE
Structure: relaxed

Values from the calculation:
Crystal system   tetragonal

Cell: 3.6937 3.6937 9.2209 Å, 90.00 90.00 90.00°
Space group P4/nmm (No. 129, origin choice 2)
One atom of each set of equivalent atoms:
Nb  0.2500  0.2500  0.2116 (multiplicity 2)
Si  0.2500  0.2500  0.7131 (multiplicity 2)
Si  0.2500  0.7500  0.0000 (multiplicity 2)
Ag  0.2500  0.7500  0.5000 (multiplicity 2)

---

Compound: RbYMo
Source: the Open Quantum Materials Database
Functional: PBE
Structure: relaxed

Values from the calculation:
Polymorph energy (0 for the lowest one)   0.467 eV/atom
Crystal system   cubic

Cell: 7.1236 7.1236 7.1236 Å, 90.00 90.00 90.00°
Space group F-43m (No. 216)
One atom of each set of equivalent atoms:
Rb  0.0000  0.0000  0.0000 (multiplicity 4)
Y  0.2500  0.2500  0.2500 (multiplicity 4)
Mo  0.2500  0.2500  0.7500 (multiplicity 4)

---

Compound: MgTaCuAs
Source: the Open Quantum Materials Database
Functional: PBE
Structure: relaxed

Values from the calculation:
Polymorph energy (0 for the lowest one)   0.000 eV/atom
Crystal system   cubic

Cell: 6.3947 6.3947 6.3947 Å, 90.00 90.00 90.00°
Space group F-43m (No. 216)
One atom of each set of equivalent atoms:
Mg  0.0000  0.0000  0.0000 (multiplicity 4)
Ta  0.2500  0.2500  0.2500 (multiplicity 4)
Cu  0.2500  0.2500  0.7500 (multiplicity 4)
As  0.0000  0.0000  0.5000 (multiplicity 4)

---

Compound: AlAuBrCl3
Source: the Open Quantum Materials Database
Functional: PBE
Structure: relaxed

Values from the calculation:
Crystal system   triclinic

Cell: 5.8840 6.2286 6.7250 Å, 63.20 64.63 89.96°
Space group P1 (No. 1)
One atom of each set of equivalent atoms:
Al  0.0000  0.0000  0.0000 (multiplicity 1)
Au  0.1570  0.6539  0.7050 (multiplicity 1)
Br  0.3887  0.3247  0.7290 (multiplicity 1)
Cl  0.0871  0.6777  0.2233 (multiplicity 1)
Cl  0.6897  0.1131  0.2082 (multiplicity 1)
Cl  0.9146  0.9502  0.7283 (multiplicity 1)

---

Compound: Sm3Si2Ge2
Source: the Open Quantum Materials Database
Functional: PBE
Structure: relaxed

Values from the calculation:
Crystal system   orthorhombic

Cell: 4.0106 4.3430 18.0196 Å, 90.00 90.00 90.00°
Space group Immm (No. 71)
One atom of each set of equivalent atoms:
Sm  0.0000  0.0000  0.0000 (multiplicity 2)
Sm  0.0000  0.5000  0.3196 (multiplicity 4)
Si  0.0000  0.0000  0.4354 (multiplicity 4)
Ge  0.0000  0.5000  0.1509 (multiplicity 4)

---

Compound: DyYN2
Source: the Open Quantum Materials Database
Functional: PBE
Structure: relaxed

Values from the calculation:
Crystal system   tetragonal

Cell: 3.4636 3.4636 4.8980 Å, 90.00 90.00 90.00°
Space group P4/mmm (No. 123)
One atom of each set of equivalent atoms:
Dy  0.0000  0.0000  0.0000 (multiplicity 1)
Y  0.5000  0.5000  0.5000 (multiplicity 1)
N  0.0000  0.0000  0.5000 (multiplicity 1)
N  0.5000  0.5000  0.0000 (multiplicity 1)

---

Compound: PaZn
Source: the Open Quantum Materials Database
Functional: PBE
Structure: relaxed

Values from the calculation:
Formation enthalpy at 0 K   0.066 eV per atom
Crystal system   monoclinic

Cell: 5.5273 4.7673 8.2885 Å, 90.00 109.47 90.00°
Space group Pm (No. 6)
One atom of each set of equivalent atoms:
Pa  0.0000  0.0000  0.0000 (multiplicity 1)
Pa  0.0610  0.5000  0.6205 (multiplicity 1)
Pa  0.2801  0.5000  0.0002 (multiplicity 1)
Pa  0.6196  0.0000  0.2405 (multiplicity 1)
Pa  0.8980  0.5000  0.2402 (multiplicity 1)
Zn  0.2074  0.0000  0.4264 (multiplicity 1)
Zn  0.4014  0.0000  0.8141 (multiplicity 1)
Zn  0.4765  0.5000  0.4290 (multiplicity 1)
Zn  0.6674  0.5000  0.8113 (multiplicity 1)
Zn  0.6858  0.0000  0.6203 (multiplicity 1)

---

Compound: LiCoNiB
Source: the Open Quantum Materials Database
Functional: PBE
Structure: relaxed

Values from the calculation:
Polymorph energy (0 for the lowest one)   0.000 eV/atom
Crystal system   cubic

Cell: 5.1532 5.1532 5.1532 Å, 90.00 90.00 90.00°
Space group F-43m (No. 216)
One atom of each set of equivalent atoms:
Li  0.0000  0.0000  0.0000 (multiplicity 4)
Co  0.2500  0.2500  0.7500 (multiplicity 4)
Ni  0.2500  0.2500  0.2500 (multiplicity 4)
B  0.0000  0.0000  0.5000 (multiplicity 4)

---

Compound: TlCuAgMo
Source: the Open Quantum Materials Database
Functional: PBE
Structure: relaxed

Values from the calculation:
Polymorph energy (0 for the lowest one)   0.000 eV/atom
Crystal system   cubic

Cell: 6.5654 6.5654 6.5654 Å, 90.00 90.00 90.00°
Space group F-43m (No. 216)
One atom of each set of equivalent atoms:
Tl  0.0000  0.0000  0.0000 (multiplicity 4)
Cu  0.2500  0.2500  0.2500 (multiplicity 4)
Ag  0.0000  0.0000  0.5000 (multiplicity 4)
Mo  0.2500  0.2500  0.7500 (multiplicity 4)

---

Compound: DyErTlN
Source: the Open Quantum Materials Database
Functional: PBE
Structure: relaxed

Values from the calculation:
Crystal system   trigonal

Cell: 3.5133 3.5133 15.6846 Å, 90.00 90.00 120.00°
Space group P-3m1 (No. 164)
One atom of each set of equivalent atoms:
Dy  0.3333  0.6667  0.4154 (multiplicity 2)
Er  0.3333  0.6667  0.0833 (multiplicity 2)
Tl  0.3333  0.6667  0.7516 (multiplicity 2)
N  0.0000  0.0000  0.0000 (multiplicity 1)
N  0.0000  0.0000  0.5000 (multiplicity 1)

---

Compound: Li2Mg2In2PdAu
Source: the Open Quantum Materials Database
Functional: PBE
Structure: relaxed

Values from the calculation:
Crystal system   tetragonal

Cell: 4.6398 4.6398 6.5851 Å, 90.00 90.00 90.00°
Space group P-4m2 (No. 115)
One atom of each set of equivalent atoms:
Li  0.0000  0.0000  0.0000 (multiplicity 1)
Li  0.5000  0.5000  0.5000 (multiplicity 1)
Mg  0.0000  0.5000  0.2448 (multiplicity 2)
In  0.0000  0.5000  0.7599 (multiplicity 2)
Pd  0.5000  0.5000  0.0000 (multiplicity 1)
Au  0.0000  0.0000  0.5000 (multiplicity 1)

---

Compound: Nd2Dy2CI2Br2Cl
Source: the Open Quantum Materials Database
Functional: PBE
Structure: relaxed

Values from the calculation:
Polymorph energy (0 for the lowest one)   0.000 eV/atom
Crystal system   monoclinic

Cell: 18.9888 3.9285 8.1936 Å, 90.00 102.51 90.00°
Space group C2/m (No. 12)
One atom of each set of equivalent atoms:
Nd  0.9998  0.0000  0.2134 (multiplicity 4)
Dy  0.1301  0.5000  0.0700 (multiplicity 4)
C  0.0000  0.5000  0.0000 (multiplicity 2)
I  0.1723  0.0000  0.8179 (multiplicity 4)
Br  0.1611  0.0000  0.3311 (multiplicity 4)
Cl  0.0000  0.5000  0.5000 (multiplicity 2)

---

Number 1: final energy -9.66 eV/atom. Number 2: final energy -6.96 eV/atom. Number 3: final energy -7.22 eV/atom. Number 4: final energy -6.90 eV/atom. Number 5: final energy -6.16 eV/atom. Number 6: final energy -3.85 eV/atom. Number 7: final energy -5.03 eV/atom. Number 8: final energy -3.36 eV/atom. Number 9: final energy -5.66 eV/atom. Number 10: final energy -8.63 eV/atom. Number 11: final energy -5.31 eV/atom. Number 12: final energy -5.38 eV/atom. Number 13: final energy -4.26 eV/atom. Number 14: final energy -5.97 eV/atom. Number 15: final energy -3.11 eV/atom. Number 16: final energy -4.97 eV/atom.